1.
This record from Alexandria via LeMat-Bulk describes a geometry-optimized LaEu2Pb structure. The functional is PBE-GGA.

Output
**Density**: 8.054 g/cm3
**E_tot**: -7.637 eV/atom
**Excess energy over the best structure of this formula in the dataset**: 0 meV/atom

```
data_LaEu2Pb
_chemical_formula_sum 'La1 Eu2 Pb1'
_symmetry_space_group_name_H-M 'P 1'
_symmetry_Int_Tables_number 1
_symmetry_space_group_name_Hall 'P 1'
_cell_length_a 5.238
_cell_length_b 5.058
_cell_length_c 5.058
_cell_angle_alpha 90.00
_cell_angle_beta 90.00
_cell_angle_gamma 90.00
loop_
_atom_site_label
_atom_site_fract_x
_atom_site_fract_y
_atom_site_fract_z
_atom_site_occupancy
Pb1 0.500 0.000 0.000 1
Eu1 0.000 0.000 0.500 1
Eu2 0.000 0.500 0.000 1
La1 0.500 0.500 0.500 1
```

***

2.
This record from Alexandria via LeMat-Bulk describes a geometry-optimized La2EuPb structure. The functional is PBE-GGA.

Output
**Density**: 7.628 g/cm3
**E_tot**: -6.253 eV/atom
**Excess energy over the best structure of this formula in the dataset**: 58 meV/atom

```
data_La2EuPb
_chemical_formula_sum 'La2 Eu1 Pb1'
_symmetry_space_group_name_H-M 'P 1'
_symmetry_Int_Tables_number 1
_symmetry_space_group_name_Hall 'P 1'
_cell_length_a 4.371
_cell_length_b 4.371
_cell_length_c 7.257
_cell_angle_alpha 90.00
_cell_angle_beta 90.00
_cell_angle_gamma 90.00
loop_
_atom_site_label
_atom_site_fract_x
_atom_site_fract_y
_atom_site_fract_z
_atom_site_occupancy
Pb1 0.500 0.500 0.000 1
Eu1 0.500 0.500 0.500 1
La1 0.000 0.000 0.782 1
La2 0.000 0.000 0.218 1
```

***

3.
This record from Alexandria via LeMat-Bulk describes a geometry-optimized LaEuPb structure. The functional is PBE-GGA.

Output
**Density**: 7.029 g/cm3
**E_tot**: -6.663 eV/atom
**Excess energy over the best structure of this formula in the dataset**: 20 meV/atom

```
data_LaEuPb
_chemical_formula_sum 'La1 Eu1 Pb1'
_symmetry_space_group_name_H-M 'P 1'
_symmetry_Int_Tables_number 1
_symmetry_space_group_name_Hall 'P 1'
_cell_length_a 5.500
_cell_length_b 5.500
_cell_length_c 5.500
_cell_angle_alpha 60.00
_cell_angle_beta 60.00
_cell_angle_gamma 60.00
loop_
_atom_site_label
_atom_site_fract_x
_atom_site_fract_y
_atom_site_fract_z
_atom_site_occupancy
Pb1 0.250 0.250 0.250 1
Eu1 0.500 0.500 0.500 1
La1 0.000 0.000 0.000 1
```